No. 1
Below is crystalline BaPdAu at its relaxed geometry, with properties calculated at the GGA-PBE level.

Summary:
M_tot = 0.0 Bohr magnetons per cell
total energy = -12.23 eV per formula unit
energy relative to the elements = -612 meV/atom
DOS(E_F) = 1.6 states/eV/f.u.
theoretical density = 8.66 Mg/m³

Lattice parameters (Å, degrees): 4.7159 4.7159 4.3874 90.00 90.00 120.00
Last column: nearest neighbours and their distance in Å.
Atoms (fractional coordinates):
Ba 0.0000 0.0000 0.0000  6 Au 3.50, 6 Pd 3.50
Pd 0.6667 0.3333 0.5000  3 Au 2.72
Au 0.3333 0.6667 0.5000  3 Pd 2.72



No. 2
Below is crystalline Tl3CdIn3 at its relaxed geometry, with properties calculated at the GGA-PBE level.

Summary:
M_tot = 0.0 Bohr magnetons per cell
total energy = -15.71 eV per formula unit
energy relative to the elements = 74 meV/atom
DOS(E_F) = 2.3 states/eV/f.u.
theoretical density = 8.60 Mg/m³

Lattice parameters (Å, degrees): 6.1458 6.1458 6.1458 104.16 104.16 104.16
Last column: nearest neighbours and their distance in Å.
Atoms (fractional coordinates):
Tl 0.2121 0.2121 0.5757  5 In 3.24-3.30, 1 Cd 3.33, 2 Tl 3.53
Tl 0.2121 0.5757 0.2121  5 In 3.24-3.30, 1 Cd 3.33, 2 Tl 3.53
Tl 0.5757 0.2121 0.2121  5 In 3.24-3.30, 1 Cd 3.33, 2 Tl 3.53
Cd 0.6792 0.6792 0.6792  6 In 3.03-3.22, 3 Tl 3.33
In 0.2037 0.7612 0.7612  2 Cd 3.03-3.22, 5 Tl 3.24-3.30
In 0.7612 0.2037 0.7612  2 Cd 3.03-3.22, 5 Tl 3.24-3.30
In 0.7612 0.7612 0.2038  2 Cd 3.03-3.22, 5 Tl 3.24-3.30



No. 3
Below is crystalline CaNd2Pa at its relaxed geometry, with properties calculated at the GGA-PBE level.

Summary:
M_tot = 0.0 Bohr magnetons per cell
total energy = -20.39 eV per formula unit
energy relative to the elements = 162 meV/atom
DOS(E_F) = 6.2 states/eV/f.u.
theoretical density = 7.01 Mg/m³

Lattice parameters (Å, degrees): 3.4902 3.4902 10.8840 90.00 90.00 90.00
Last column: nearest neighbours and their distance in Å.
Atoms (fractional coordinates):
Ca 0.0000 0.0000 0.0000  4 Ca 3.49
Nd 0.5000 0.5000 0.2801  4 Pa 3.44, 4 Nd 3.49
Nd 0.5000 0.5000 0.7199  4 Pa 3.44, 4 Nd 3.49
Pa 0.0000 0.0000 0.5000  8 Nd 3.44, 4 Pa 3.49



No. 4
Below is crystalline Sm2AlPdO6 at its relaxed geometry, with properties calculated at the GGA-PBE level.

Summary:
M_tot = 2.0 Bohr magnetons per cell
total energy = -73.48 eV per formula unit
uncorrected formation energy = -2.536 eV/atom
theoretical density = 7.34 Mg/m³

Lattice parameters (Å, degrees): 5.3456 5.5653 9.6120 90.00 122.93 90.00
Last column: nearest neighbours and their distance in Å.
Atoms (fractional coordinates):
Sm 0.2283 0.0599 0.2475  6 O 2.28-2.54
Sm 0.2283 0.4401 0.7475  6 O 2.28-2.54
Sm 0.7717 0.5599 0.2525  6 O 2.28-2.54
Sm 0.7717 0.9401 0.7525  6 O 2.28-2.54
Al 0.5000 0.0000 0.0000  6 O 1.88-1.97
Al 0.5000 0.5000 0.5000  6 O 1.88-1.97
Pd 0.0000 0.0000 0.5000  4 O 2.07-2.08
Pd 0.0000 0.5000 0.0000  4 O 2.07-2.08
O 0.1577 0.1966 0.9473  1 Al 1.95, 1 Pd 2.07
O 0.1577 0.3034 0.4473  1 Al 1.95, 1 Pd 2.07
O 0.2430 0.7143 0.9372  1 Al 1.97, 1 Pd 2.08
O 0.2430 0.7857 0.4372  1 Al 1.97, 1 Pd 2.08
O 0.3817 0.0336 0.7772  1 Al 1.88
O 0.3817 0.4664 0.2772  1 Al 1.88
O 0.6183 0.5336 0.7228  1 Al 1.88
O 0.6183 0.9664 0.2228  1 Al 1.88
O 0.7570 0.2143 0.5628  1 Al 1.97, 1 Pd 2.08
O 0.7570 0.2857 0.0628  1 Al 1.97, 1 Pd 2.08
O 0.8423 0.6966 0.5527  1 Al 1.95, 1 Pd 2.07
O 0.8423 0.8034 0.0527  1 Al 1.95, 1 Pd 2.07



No. 5
Below is crystalline Tb4CdSi2 at its relaxed geometry, with properties calculated at the GGA-PBE level.

Summary:
M_tot = 0.0 Bohr magnetons per cell
total energy = -32.95 eV per formula unit
uncorrected formation energy = -0.381 eV/atom
DOS(E_F) = 5.7 states/eV/f.u.
theoretical density = 6.86 Mg/m³

Lattice parameters (Å, degrees): 11.3359 11.3359 11.3359 22.97 22.97 22.97
Last column: nearest neighbours and their distance in Å.
Atoms (fractional coordinates):
Tb 0.1108 0.1108 0.1108  3 Si 2.97, 3 Cd 3.20
Tb 0.3002 0.3002 0.3002  3 Si 2.84
Tb 0.6998 0.6998 0.6998  3 Si 2.84
Tb 0.8892 0.8892 0.8892  3 Si 2.97, 3 Cd 3.20
Cd 0.5000 0.5000 0.5000  6 Tb 3.20, 2 Si 3.28
Si 0.4008 0.4008 0.4008  6 Tb 2.84-2.97
Si 0.5992 0.5992 0.5992  6 Tb 2.84-2.97



No. 6
Below is crystalline Ca2CoSi at its relaxed geometry, with properties calculated at the GGA-PBE level.

Summary:
M_tot = 0.0 Bohr magnetons per cell
total energy = -17.86 eV per formula unit
uncorrected formation energy = -0.332 eV/atom
DOS(E_F) = 4.2 states/eV/f.u.
theoretical density = 2.65 Mg/m³

Lattice parameters (Å, degrees): 3.9978 15.2333 6.8684 90.00 90.00 90.00
Last column: nearest neighbours and their distance in Å.
Atoms (fractional coordinates):
Ca 0.0000 0.1277 0.0000  3 Co 3.00-3.02, 3 Si 3.01
Ca 0.0000 0.3723 0.5000  3 Co 3.00-3.02, 3 Si 3.01
Ca 0.0000 0.6277 0.5000  3 Co 3.00-3.02, 3 Si 3.01
Ca 0.0000 0.8723 0.0000  3 Co 3.00-3.02, 3 Si 3.01
Ca 0.5000 0.1277 0.5000  3 Co 3.00-3.02, 3 Si 3.01
Ca 0.5000 0.3723 0.0000  3 Co 3.00-3.02, 3 Si 3.01
Ca 0.5000 0.6277 0.0000  3 Co 3.00-3.02, 3 Si 3.01
Ca 0.5000 0.8723 0.5000  3 Co 3.00-3.02, 3 Si 3.01
Co 0.0000 0.0000 0.6679  3 Si 2.29-2.30
Co 0.0000 0.5000 0.1679  3 Si 2.29-2.30
Co 0.5000 0.0000 0.1679  3 Si 2.29-2.30
Co 0.5000 0.5000 0.6679  3 Si 2.29-2.30
Si 0.0000 0.0000 0.3339  3 Co 2.29-2.30
Si 0.0000 0.5000 0.8339  3 Co 2.29-2.30
Si 0.5000 0.0000 0.8339  3 Co 2.29-2.30
Si 0.5000 0.5000 0.3339  3 Co 2.29-2.30



Q: The highest total energy belongs to which entry?
A: BaPdAu